## InAg4Sn (PBE-GGA)

Data for an optimized crystal structure of InAg4Sn.

Cell: 5.9151 7.3227 7.2597 Å, 120.29 103.01 90.00°
Closest atoms and distances in Å follow each position.
Element x y z (fractional)
1 Ag 0.4939 0.0809 0.7591  5 Ag 2.83-3.00, 1 In 2.94, 2 Sn 2.94-3.16
2 Ag 0.2394 0.6941 0.3881  4 Ag 2.83-2.98, 2 Sn 2.93-3.02, 1 In 2.95
3 Ag 0.5061 0.9191 0.2409  5 Ag 2.83-3.00, 1 In 2.94, 2 Sn 2.94-3.16
4 Ag 0.7606 0.3059 0.6119  4 Ag 2.83-2.98, 2 Sn 2.93-3.02, 1 In 2.95
5 Ag 0.4939 0.6782 0.7591  5 Ag 2.83-3.00, 1 In 2.94, 2 Sn 2.94-3.16
6 Ag 0.0000 0.1879 0.0000  3 Ag 2.75-2.98, 2 Sn 2.82, 2 In 2.88
7 Ag 0.5061 0.3218 0.2409  5 Ag 2.83-3.00, 1 In 2.94, 2 Sn 2.94-3.16
8 Ag 0.0000 0.8121 0.0000  3 Ag 2.75-2.98, 2 Sn 2.82, 2 In 2.88
9 Sn 0.2361 0.4525 0.9050  6 Ag 2.82-3.02, 1 In 2.99, 1 Sn 3.04
10 Sn 0.7639 0.5475 0.0950  6 Ag 2.82-3.02, 1 In 2.99, 1 Sn 3.04
11 In 0.8373 0.7924 0.5847  5 Ag 2.88-2.95, 1 Sn 2.99
12 In 0.1627 0.2076 0.4153  5 Ag 2.88-2.95, 1 Sn 2.99

## Properties
space-group type	No. 12
E_form	0.704	eV/f.u.
total magnetic moment	0.0	μB/cell